# 1
# ZrInBr2 PBE relaxed
data_ZrInBr2
_symmetry_space_group_name_H-M 'F m -3 m'
_symmetry_Int_Tables_number 225
_symmetry_space_group_name_Hall '-F 4 2 3'
_cell_length_a 7.244
_cell_length_b 7.244
_cell_length_c 7.244
_cell_angle_alpha 90.00
_cell_angle_beta 90.00
_cell_angle_gamma 90.00
loop_
_atom_site_label
_atom_site_type_symbol
_atom_site_fract_x
_atom_site_fract_y
_atom_site_fract_z
Zr1 Zr 0.000 0.000 0.000
In1 In 0.000 0.000 0.500
Br1 Br 0.250 0.250 0.250
# **Formation energy (no corrections)**: -13.1 kJ/mol of atoms
# **Uncorrected energy**: -3.79 eV/atom
# **Energy relative to the lowest polymorph listed for this composition**: 0.6252 eV/atom

# 2
# Li2Ho2US6 PBE relaxed
data_Li2Ho2US6
_symmetry_space_group_name_H-M 'C 1 2/m 1'
_symmetry_Int_Tables_number 12
_symmetry_space_group_name_Hall '-C 2y'
_cell_length_a 6.817
_cell_length_b 11.821
_cell_length_c 6.541
_cell_angle_alpha 90.00
_cell_angle_beta 109.85
_cell_angle_gamma 90.00
loop_
_atom_site_label
_atom_site_type_symbol
_atom_site_fract_x
_atom_site_fract_y
_atom_site_fract_z
Li1 Li 0.000 0.170 0.000
Ho1 Ho 0.000 0.335 0.500
U1 U 0.000 0.000 0.500
S1 S 0.241 0.168 0.743
S2 S 0.244 0.000 0.257
# **Formation energy (no corrections)**: -162.9 kJ/mol of atoms
# **Uncorrected energy**: -6.15 eV/atom

# 3
# Ca2PrCd2In2 PBE relaxed
data_Ca2PrCd2In2
_symmetry_space_group_name_H-M 'R -3 m'
_symmetry_Int_Tables_number 166
_symmetry_space_group_name_Hall '-R 3 2"'
_cell_length_a 5.0011
_cell_length_b 5.0011
_cell_length_c 28.5014
_cell_angle_alpha 90.00
_cell_angle_beta 90.00
_cell_angle_gamma 120.00
loop_
_atom_site_label
_atom_site_type_symbol
_atom_site_fract_x
_atom_site_fract_y
_atom_site_fract_z
Ca1 Ca 0.0000 0.0000 0.1282
Pr1 Pr 0.0000 0.0000 0.0000
Cd1 Cd 0.0000 0.0000 0.3947
In1 In 0.0000 0.0000 0.2588
# **E_form**: -355 meV per atom
# **Uncorrected energy**: -2.65 eV/atom

- Which value of uncorrected energy does entry 1 give?
  -3.79 eV/atom

- Among the records above, which one has the lowest uncorrected energy?
  Li2Ho2US6

- The highest uncorrected energy belongs to which entry?
  Ca2PrCd2In2